The following is a PBE+U calculation of crystalline Na3Li3Co2F12 at its relaxed geometry, from the Alexandria database.

Cell: 10.8325 10.8325 10.8325 Å, 109.47 109.47 109.47°
Positions (direct):
Na (0.1250, 0.2500, 0.3750)
Na (0.1250, 0.3750, 0.7500)
Na (0.2500, 0.3750, 0.1250)
Na (0.2500, 0.8750, 0.6250)
Na (0.3750, 0.1250, 0.2500)
Na (0.3750, 0.7500, 0.1250)
Na (0.6250, 0.2500, 0.8750)
Na (0.6250, 0.8750, 0.7500)
Na (0.7500, 0.1250, 0.3750)
Na (0.7500, 0.6250, 0.8750)
Na (0.8750, 0.6250, 0.2500)
Na (0.8750, 0.7500, 0.6250)
Li (0.1250, 0.7500, 0.8750)
Li (0.1250, 0.8750, 0.2500)
Li (0.2500, 0.1250, 0.8750)
Li (0.2500, 0.6250, 0.3750)
Li (0.3750, 0.2500, 0.6250)
Li (0.3750, 0.6250, 0.7500)
Li (0.6250, 0.3750, 0.2500)
Li (0.6250, 0.7500, 0.3750)
Li (0.7500, 0.3750, 0.6250)
Li (0.7500, 0.8750, 0.1250)
Li (0.8750, 0.1250, 0.7500)
Li (0.8750, 0.2500, 0.1250)
Co (0.0000, 0.0000, 0.0000)
Co (0.0000, 0.0000, 0.5000)
Co (0.0000, 0.5000, 0.0000)
Co (0.0000, 0.5000, 0.5000)
Co (0.5000, 0.0000, 0.0000)
Co (0.5000, 0.0000, 0.5000)
Co (0.5000, 0.5000, 0.0000)
Co (0.5000, 0.5000, 0.5000)
F (0.0168, 0.1913, 0.1139)
F (0.0168, 0.3255, 0.9029)
F (0.0774, 0.6913, 0.6745)
F (0.0774, 0.8861, 0.4029)
F (0.0971, 0.6139, 0.4226)
F (0.0971, 0.9832, 0.6745)
F (0.1139, 0.0168, 0.1913)
F (0.1139, 0.5971, 0.9226)
F (0.1745, 0.1913, 0.5774)
F (0.1745, 0.4832, 0.5971)
F (0.1913, 0.1139, 0.0168)
F (0.1913, 0.5774, 0.1745)
F (0.3087, 0.3255, 0.9226)
F (0.3087, 0.4832, 0.3861)
F (0.3255, 0.9029, 0.0168)
F (0.3255, 0.9226, 0.3087)
F (0.3861, 0.3087, 0.4832)
F (0.3861, 0.5774, 0.9029)
F (0.4029, 0.0774, 0.8861)
F (0.4029, 0.8255, 0.5168)
F (0.4226, 0.0971, 0.6139)
F (0.4226, 0.8255, 0.8087)
F (0.4832, 0.3861, 0.3087)
F (0.4832, 0.5971, 0.1745)
F (0.5168, 0.4029, 0.8255)
F (0.5168, 0.6139, 0.6913)
F (0.5774, 0.1745, 0.1913)
F (0.5774, 0.9029, 0.3861)
F (0.5971, 0.1745, 0.4832)
F (0.5971, 0.9226, 0.1139)
F (0.6139, 0.4226, 0.0971)
F (0.6139, 0.6913, 0.5168)
F (0.6745, 0.0774, 0.6913)
F (0.6745, 0.0971, 0.9832)
F (0.6913, 0.5168, 0.6139)
F (0.6913, 0.6745, 0.0774)
F (0.8087, 0.4226, 0.8255)
F (0.8087, 0.8861, 0.9832)
F (0.8255, 0.5168, 0.4029)
F (0.8255, 0.8087, 0.4226)
F (0.8861, 0.4029, 0.0774)
F (0.8861, 0.9832, 0.8087)
F (0.9029, 0.0168, 0.3255)
F (0.9029, 0.3861, 0.5774)
F (0.9226, 0.1139, 0.5971)
F (0.9226, 0.3087, 0.3255)
F (0.9832, 0.6745, 0.0971)
F (0.9832, 0.8087, 0.8861)

Calculated values
Fermi-level density of states (states/eV/f.u.): 0.00
Energy (eV/atom): -4.660